ErPuSc2O8 (PBE, optimized geometry); formation energy without anion corrections = -36.652 eV/f.u.; space-group type = Cmmm; total magnetic moment = 0.999 Bohr magnetons per cell; raw total energy = -8.990 eV/atom
1.0
3.463 -3.471 0.000
3.463 3.471 0.000
0.000 0.000 6.728
Er Pu Sc O
1 1 2 8
Direct
0.000 0.000 0.000
0.000 0.000 0.500
0.500 0.500 0.232
0.500 0.500 0.768
0.194 0.806 0.272
0.194 0.806 0.728
0.287 0.287 0.500
0.315 0.315 0.000
0.685 0.685 0.000
0.713 0.713 0.500
0.806 0.194 0.272
0.806 0.194 0.728